Computed, not measured: a relaxed structure of Nd2RhPb2 at the PBE level of DFT.

Cell and atoms, written as POSCAR:
```
Nd2RhPb2
1.0
5.724 -2.310 0.000
5.724 2.310 0.000
-5.075 0.000 10.319
Nd Rh Pb
4 2 4
Cartesian
-0.844 0.000 1.767 Nd
-1.069 0.000 6.509 Nd
7.443 0.000 3.810 Nd
7.218 0.000 8.552 Nd
2.294 0.000 1.831 Rh
4.080 0.000 8.488 Rh
-0.906 0.000 9.823 Pb
2.206 0.000 6.359 Pb
4.167 0.000 3.960 Pb
7.280 0.000 0.496 Pb
```

Properties
E_form	-578	meV per atom
SG	C2/m, No. 12
V	27.29	Å³/atom

---

Computed, not measured: a relaxed structure of MoPd4Pt2 at the PBE level of DFT.

Cell and atoms, written as POSCAR:
```
MoPd4Pt2
1.0
7.264 0.000 0.000
0.000 7.264 0.000
0.000 0.000 4.482
Mo Pd Pt
2 8 4
Cartesian
0.000 0.000 0.000 Mo
3.632 3.632 2.241 Mo
0.667 2.548 0.000 Pd
1.084 4.299 2.241 Pd
2.548 0.667 0.000 Pd
2.965 6.180 2.241 Pd
4.299 1.084 2.241 Pd
4.716 6.598 0.000 Pd
6.180 2.965 2.241 Pd
6.598 4.716 0.000 Pd
0.999 0.999 2.241 Pt
2.634 4.631 0.000 Pt
4.631 2.634 0.000 Pt
6.266 6.266 2.241 Pt
```

Properties
E_form	233	meV per atom
SG	P4_2/mnm, No. 136
V	16.90	Å³/atom
distance to the lowest polymorph of the same formula	1.09	eV/f.u.

---

Computed, not measured: a relaxed structure of Tl2InSF at the PBE level of DFT.

Cell and atoms, written as POSCAR:
```
Tl2InSF
1.0
5.735 0.000 0.000
0.000 5.735 0.000
0.000 0.000 4.342
Tl In S F
2 1 1 1
Cartesian
0.000 2.867 0.000 Tl
2.867 0.000 0.000 Tl
0.000 0.000 0.000 In
2.867 2.867 2.171 S
0.000 0.000 2.171 F
```

Properties
DFT total energy	-15.56	eV for the cell shown
SG	P4/mmm, No. 123
V	28.55	Å³/atom

---

Computed, not measured: a relaxed structure of LaCo2Te at the PBE level of DFT.

Cell and atoms, written as POSCAR:
```
LaCo2Te
1.0
4.150 0.000 0.000
0.000 4.239 0.000
0.000 0.000 5.144
La Co Te
1 2 1
Cartesian
0.000 0.000 0.000 La
2.075 2.120 1.107 Co
2.075 2.120 4.037 Co
0.000 2.120 2.572 Te
```

Properties
DFT total energy	-23.17	eV for the cell shown
SG	Pmmm, No. 47
V	22.63	Å³/atom

---

Computed, not measured: a relaxed structure of MnTl2P at the PBE level of DFT.

Cell and atoms, written as POSCAR:
```
MnTl2P
1.0
3.741 0.000 0.000
0.000 3.741 0.000
0.000 0.000 6.237
Mn Tl P
1 2 1
Cartesian
0.000 0.000 0.000 Mn
1.871 1.871 1.593 Tl
1.871 1.871 4.644 Tl
0.000 0.000 3.118 P
```

Properties
E_form	564	meV per atom
SG	P4/mmm, No. 123
V	21.82	Å³/atom
distance to the lowest polymorph of the same formula	2.04	eV/f.u.

---

Computed, not measured: a relaxed structure of Ca2DySb3Pt4 at the PBE level of DFT.

Cell and atoms, written as POSCAR:
```
Ca2DySb3Pt4
1.0
4.526 0.000 0.000
0.000 4.526 0.000
0.000 0.000 11.437
Ca Dy Sb Pt
2 1 3 4
Cartesian
0.000 2.263 2.507 Ca
2.263 0.000 8.930 Ca
0.000 0.000 5.718 Dy
0.000 2.263 9.966 Sb
2.263 0.000 1.471 Sb
2.263 2.263 5.718 Sb
0.000 0.000 0.000 Pt
0.000 2.263 7.375 Pt
2.263 0.000 4.062 Pt
2.263 2.263 0.000 Pt
```

Properties
DFT total energy	-53.75	eV for the cell shown
SG	P-4m2, No. 115
V	23.43	Å³/atom

---

Computed, not measured: a relaxed structure of ZnCo2B at the PBE level of DFT.

Cell and atoms, written as POSCAR:
```
ZnCo2B
1.0
1.262 -6.561 0.000
1.262 6.561 0.000
0.000 0.000 4.893
Zn Co B
2 4 2
Cartesian
1.262 3.451 3.669 Zn
1.262 -3.451 1.223 Zn
1.262 1.195 4.890 Co
1.262 1.195 2.449 Co
1.262 -1.195 0.002 Co
1.262 -1.195 2.444 Co
1.262 6.559 1.223 B
1.262 -6.559 3.669 B
```

Properties
E_form	-60	meV per atom
SG	Cmcm, No. 63
V	10.13	Å³/atom
distance to the lowest polymorph of the same formula	0.57	eV/f.u.

---

Computed, not measured: a relaxed structure of NpSn2 at the PBE level of DFT.

Cell and atoms, written as POSCAR:
```
NpSn2
1.0
0.000 4.284 4.284
4.284 0.000 4.284
4.284 4.284 0.000
Np Sn
2 4
Cartesian
1.071 1.071 1.071 Np
7.496 7.496 7.496 Np
4.284 2.142 2.142 Sn
2.142 4.284 2.142 Sn
2.142 2.142 4.284 Sn
4.284 4.284 4.284 Sn
```

Properties
E_form	139	meV per atom
SG	Fd-3m, No. 227
V	26.20	Å³/atom